MgCrSF5: relaxed, GGA+U.

Calculated values
Its total magnetization is 5.98 μB per cell. Its excess energy over the best structure of this formula in the dataset is 0.00 eV/f.u. The value obtained for the energy is -5.35 eV per atom.

Lattice parameters (Å, degrees): 5.6483 7.1621 7.6091 106.06 106.10 110.12
Fractional coordinates of all 16 atoms:
Mg (0.0000, 0.0000, 0.0000)
Mg (0.1221, 0.5660, 0.7723)
Cr (0.0638, 0.7690, 0.3793)
Cr (0.5608, 0.2732, 0.8757)
S (0.5208, 0.8805, 0.3460)
S (0.6167, 0.6642, 0.3997)
F (0.0191, 0.9541, 0.2383)
F (0.1237, 0.5909, 0.5222)
F (0.2492, 0.0292, 0.6336)
F (0.3390, 0.2166, 0.0290)
F (0.3595, 0.7948, 0.0725)
F (0.4020, 0.4612, 0.8153)
F (0.7042, 0.0741, 0.9321)
F (0.7919, 0.3177, 0.7280)
F (0.8831, 0.5143, 0.1183)
F (0.9320, 0.7459, 0.7957)